No. 1
This record from the Alexandria database describes an optimized crystal structure of TaGa3Se. The functional is PBE-GGA.

Output
Energy relative to the lowest polymorph listed for this composition = 391.2 meV per atom
Energy relative to the elements, uncorrected = 550 kJ/mol of formula units
Magnetic moment = 0.0002 μB per atom
Space group = Pm-3m (221)

a b c (Å): 4.836 4.836 4.836
angles (deg): 90.00 90.00 90.00
Atoms (fractional coordinates):
1 Ga 0.000 0.500 0.000
2 Ga 0.000 0.000 0.500
3 Ga 0.500 0.000 0.000
4 Se 0.000 0.000 0.000
5 Ta 0.500 0.500 0.500


No. 2
This record from the Alexandria database describes an optimized crystal structure of TaGaSe4. The functional is PBE-GGA.

Output
Energy relative to the elements, uncorrected = -265 kJ/mol of formula units
Magnetic moment = 0.0000 μB per atom
Space group = C2/m (12)

a b c (Å): 4.655 8.513 10.142
angles (deg): 103.33 90.00 105.87
Atoms (fractional coordinates):
1 Ta 0.182 0.365 0.272
2 Ta 0.818 0.635 0.728
3 Ga 0.115 0.229 0.612
4 Ga 0.885 0.771 0.388
5 Se 0.054 0.108 0.366
6 Se 0.121 0.243 0.044
7 Se 0.726 0.452 0.364
8 Se 0.649 0.298 0.720
9 Se 0.351 0.702 0.280
10 Se 0.274 0.548 0.636
11 Se 0.879 0.757 0.956
12 Se 0.946 0.892 0.634


No. 3
This record from the Alexandria database describes an optimized crystal structure of Ta2Ga2Se7. The functional is PBE-GGA.

Output
Energy relative to the elements, uncorrected = -478 kJ/mol of formula units
Magnetic moment = 0.0000 μB per atom
Space group = C2/m (12)

a b c (Å): 10.408 6.612 6.612
angles (deg): 115.13 85.26 85.26
Atoms (fractional coordinates):
1 Ta 0.000 0.346 0.654
2 Ta 0.000 0.654 0.346
3 Ga 0.281 0.155 0.155
4 Ga 0.719 0.845 0.845
5 Se 0.872 0.020 0.656
6 Se 0.128 0.344 0.980
7 Se 0.128 0.980 0.344
8 Se 0.872 0.656 0.020
9 Se 0.500 0.000 0.000
10 Se 0.177 0.534 0.534
11 Se 0.823 0.466 0.466


No. 4
This record from the Alexandria database describes an optimized crystal structure of Ta2GaSe2. The functional is PBE-GGA.

Output
Energy relative to the lowest polymorph listed for this composition = 0.0 meV per atom
Energy relative to the elements, uncorrected = -97 kJ/mol of formula units
Magnetic moment = 0.0000 μB per atom
Space group = I4/mmm (139)

a b c (Å): 3.915 3.915 7.858
angles (deg): 75.57 75.57 90.00
Atoms (fractional coordinates):
1 Ga 0.000 0.000 0.000
2 Se 0.376 0.376 0.248
3 Se 0.624 0.624 0.752
4 Ta 0.750 0.250 0.500
5 Ta 0.250 0.750 0.500


No. 5
This record from the Alexandria database describes an optimized crystal structure of Ta2GaSe2. The functional is PBE-GGA.

Output
Energy relative to the lowest polymorph listed for this composition = 132.8 meV per atom
Energy relative to the elements, uncorrected = -33 kJ/mol of formula units
Magnetic moment = 0.0000 μB per atom
Space group = P4/mbm (127)

a b c (Å): 7.477 7.477 3.236
angles (deg): 90.00 90.00 90.00
Atoms (fractional coordinates):
1 Ga 0.000 0.000 0.000
2 Ga 0.500 0.500 0.000
3 Se 0.141 0.641 0.500
4 Se 0.641 0.859 0.500
5 Se 0.859 0.359 0.500
6 Se 0.359 0.141 0.500
7 Ta 0.348 0.848 0.000
8 Ta 0.848 0.652 0.000
9 Ta 0.652 0.152 0.000
10 Ta 0.152 0.348 0.000


No. 6
This record from the Alexandria database describes an optimized crystal structure of TaGaSe2. The functional is PBE-GGA.

Output
Energy relative to the elements, uncorrected = -9 kJ/mol of formula units
Magnetic moment = 0.4782 μB per atom
Space group = I-42d (122)

a b c (Å): 6.706 6.706 7.144
angles (deg): 62.01 62.01 90.00
Atoms (fractional coordinates):
1 Ga 0.500 0.500 0.000
2 Ga 0.250 0.750 0.500
3 Se 0.681 0.125 0.250
4 Se 0.069 0.625 0.250
5 Se 0.375 0.319 0.750
6 Se 0.875 0.931 0.750
7 Ta 0.000 0.000 0.000
8 Ta 0.750 0.250 0.500


No. 7
This record from the Alexandria database describes an optimized crystal structure of TaGa3Se. The functional is PBE-GGA.

Output
Energy relative to the lowest polymorph listed for this composition = 0.0 meV per atom
Energy relative to the elements, uncorrected = 361 kJ/mol of formula units
Magnetic moment = 0.0001 μB per atom
Space group = Pm-3m (221)

a b c (Å): 5.120 5.120 5.120
angles (deg): 90.00 90.00 90.00
Atoms (fractional coordinates):
1 Ga 0.000 0.500 0.000
2 Ga 0.000 0.000 0.500
3 Ga 0.500 0.000 0.000
4 Se 0.500 0.500 0.500
5 Ta 0.000 0.000 0.000


No. 8
This record from the Alexandria database describes an optimized crystal structure of Ta3GaSe. The functional is PBE-GGA.

Output
Energy relative to the lowest polymorph listed for this composition = 0.0 meV per atom
Energy relative to the elements, uncorrected = 473 kJ/mol of formula units
Magnetic moment = 0.0000 μB per atom
Space group = Pm-3m (221)

a b c (Å): 4.721 4.721 4.721
angles (deg): 90.00 90.00 90.00
Atoms (fractional coordinates):
1 Ga 0.500 0.500 0.500
2 Se 0.000 0.000 0.000
3 Ta 0.000 0.500 0.000
4 Ta 0.000 0.000 0.500
5 Ta 0.500 0.000 0.000